This record from Alexandria via LeMat-Bulk describes a geometry-optimized PuAgHgTe structure. The functional is PBE-GGA.

Unit cell a=5.216 b=5.216 c=5.216 alpha=60.00 beta=60.00 gamma=60.00
Fractional positions:
Pu1 0.000 0.000 0.000
Ag1 0.500 0.500 0.500
Hg1 0.250 0.250 0.250
Te1 0.750 0.750 0.750

**Energy relative to the elements, uncorrected**: -285 meV per atom
**N(E_F)**: 2.4344 states/eV/atom
**Total energy**: -21.77 eV/cell